The following is a PBE-GGA calculation of a relaxed RbB2Pd2 crystal, from Alexandria via LeMat-Bulk.

Results
Symmetry   No. 139
Total magnetization   0.00 μB per formula unit
ΔE to the lowest computed polymorph   0 meV/atom
Calculated formation energy   0.1520 eV per atom
ρ   5.166 g/cm3

Cell: 6.861 6.861 6.861 Å, 145.56 145.56 49.51°
Positions (direct):
Rb 0.000 0.000 0.000
B 0.303 0.303 0.000
B 0.697 0.697 0.000
Pd 0.250 0.750 0.500
Pd 0.750 0.250 0.500